DFT (PBE) results for a geometry-optimized HfNp4As5 structure.

Lattice parameters (Å, degrees): 4.0515 4.0515 14.5400 98.01 98.01 90.00
Last column: nearest neighbours and their distance in Å.
Fractional positions:
As1 0.6993 0.6993 0.3986  6 Np 2.86-2.90
As2 0.3007 0.3007 0.6014  6 Np 2.86-2.90
As3 0.9041 0.9041 0.8082  1 Hf 2.73, 5 Np 2.87-2.94
As4 0.0959 0.0959 0.1918  1 Hf 2.73, 5 Np 2.87-2.94
As5 0.5000 0.5000 0.0000  2 Np 2.79, 4 Hf 2.86
Np1 0.8010 0.8010 0.6020  6 As 2.86-2.94
Np2 0.5979 0.5979 0.1959  6 As 2.79-2.89
Np3 0.4021 0.4021 0.8041  6 As 2.79-2.89
Np4 0.1990 0.1990 0.3980  6 As 2.86-2.94
Hf1 0.0000 0.0000 0.0000  6 As 2.73-2.86

Computed properties:
Spin magnetization in μB per formula unit: 0.1
Symmetry: I4/mmm
Energy relative to the elements in eV per atom: -0.71
Total DFT energy (no corrections) in eV/atom: -9.208